[1]
CaTbCdIr PBE optimized geometry; ρ = 9157 kg/m3; raw total energy = -17.96 eV for the cell shown; M_tot = 0.0 Bohr magnetons per cell; energy relative to the elements = -387.0 meV per atom
1.0
-4.492 0.868 -2.149
-4.191 0.026 2.826
-2.427 4.346 0.882
Ca Ir Tb Cd
1 1 1 1
Direct
0.000 0.000 0.000
0.250 0.250 0.250
0.500 0.500 0.500
0.750 0.750 0.750

[2]
Ca2TlCdIr PBE optimized geometry; ρ = 6204 kg/m3; raw total energy = -16.94 eV for the cell shown; M_tot = 0.0 Bohr magnetons per cell; energy relative to the elements = -159.6 meV per atom
1.0
5.470 0.000 0.000
0.000 5.470 0.000
0.000 0.000 5.271
Tl Ir Ca Cd
1 1 2 1
Direct
0.000 0.000 0.500
0.000 0.000 0.000
0.000 0.500 0.000
0.500 0.000 0.000
0.500 0.500 0.500

[3]
CaTlCd2Ir PBE optimized geometry; ρ = 6756 kg/m3; raw total energy = -9.76 eV for the cell shown; M_tot = 1.4 Bohr magnetons per cell; energy relative to the elements = 1059.3 meV per atom
1.0
5.258 0.000 0.000
0.000 5.880 0.000
0.000 0.000 5.258
Tl Ir Ca Cd
1 1 1 2
Direct
0.000 0.000 0.000
0.500 0.500 0.500
0.000 0.500 0.000
0.000 0.000 0.500
0.500 0.000 0.000

[4]
CaTmCdIr PBE optimized geometry; ρ = 9616 kg/m3; raw total energy = -17.85 eV for the cell shown; M_tot = 0.0 Bohr magnetons per cell; energy relative to the elements = -400.9 meV per atom
1.0
5.006 0.000 0.000
2.503 4.335 0.000
2.503 1.445 4.087
Ca Ir Tm Cd
1 1 1 1
Direct
0.000 0.000 0.000
0.250 0.250 0.250
0.500 0.500 0.500
0.750 0.750 0.750

[5]
Ca2YCdIr PBE optimized geometry; ρ = 4844 kg/m3; raw total energy = -21.54 eV for the cell shown; M_tot = 0.0 Bohr magnetons per cell; energy relative to the elements = -259.5 meV per atom
1.0
-2.176 3.196 -3.939
-4.969 -2.205 0.955
-0.986 3.788 3.618
Y Ca Ir Cd
1 2 1 1
Direct
0.000 0.000 0.500
0.000 0.500 0.000
0.500 0.000 0.000
0.000 0.000 0.000
0.500 0.500 0.500

[6]
K2CaCd PBE optimized geometry; ρ = 2127 kg/m3; raw total energy = -4.63 eV for the cell shown; M_tot = 0.0 Bohr magnetons per cell; energy relative to the elements = 120.8 meV per atom
1.0
-1.813 -5.338 2.810
3.205 -1.970 -1.673
5.539 0.577 4.670
Ca Cd K
1 1 2
Direct
0.500 0.250 0.250
0.500 0.750 0.750
0.000 0.935 0.981
0.000 0.565 0.519

Repeat the third record exactly.
CaTlCd2Ir PBE optimized geometry; ρ = 6756 kg/m3; raw total energy = -9.76 eV for the cell shown; M_tot = 1.4 Bohr magnetons per cell; energy relative to the elements = 1059.3 meV per atom
1.0
5.258 0.000 0.000
0.000 5.880 0.000
0.000 0.000 5.258
Tl Ir Ca Cd
1 1 1 2
Direct
0.000 0.000 0.000
0.500 0.500 0.500
0.000 0.500 0.000
0.000 0.000 0.500
0.500 0.000 0.000